Computed, not measured: a geometry-optimized Pt2Cl structure at the PBE level of DFT.

The magnetization is 0.00 Bohr magnetons per cell. The calculation puts the volume at 52 Å³/cell. For the raw formation energy, the calculation gives 0.750 eV/atom. The calculation puts the density of states at the Fermi level at 6.10 states/eV/f.u. The final energy comes out at -11.679 eV/cell. The calculation puts the distance to the lowest polymorph of the same formula at 0.576 eV per atom.

The structure in POSCAR format:
```
Pt2Cl
1.0
4.6240 0.0000 0.0000
-2.3120 4.0045 0.0000
0.0000 0.0000 2.8060
Pt Cl
2 1
Direct
0.3333 0.6667 0.4741 Pt
0.6667 0.3333 0.5259 Pt
0.0000 0.0000 0.0000 Cl
```